A plane-wave DFT calculation with GGA-PBE was carried out for crystalline CaZnTcS2 at its relaxed geometry.

## Properties
The calculation puts the final energy at -0.246 Ry per atom. The calculation puts the raw formation energy at 1026 meV/atom.

Cell lengths 5.1424, 5.7822, 5.1424 Å; angles 90.00, 90.00, 90.00 degrees
Site moments in Bohr magnetons follow the coordinates.
Atoms (fractional coordinates):
Zn  0.5000  0.5000  0.5000  0.01
S  0.0000  0.0000  0.5000  0.02
S  0.5000  0.0000  0.0000  0.08
Tc  0.0000  0.5000  0.0000  3.58
Ca  0.0000  0.0000  0.0000  0.00